! ReP2SeS, optimized geometry, DFT PBE-GGA; values from VASP
! volume	20.12	A^3/atom
! symmetry	P4/mmm
! uncorrected energy	-22.25	eV for the cell shown
! total moment	2.5	μB per formula unit
! E_form (uncorrected)	8.6	eV per formula unit
! Fermi-level density of states	2.61	states/eV per cell
&SYSTEM
  ibrav = 0, nat = 5, ntyp = 4
/
ATOMIC_SPECIES
Re 186.21 Re.upf
P 30.97 P.upf
Se 78.96 Se.upf
S 32.06 S.upf
CELL_PARAMETERS angstrom
4.696 0.000 0.000
0.000 4.696 0.000
0.000 0.000 4.563
ATOMIC_POSITIONS crystal
Re 0.000 0.000 0.000
P 0.000 0.500 0.500
P 0.500 0.000 0.500
Se 0.500 0.500 0.500
S 0.500 0.500 0.000